Here is a geometry-optimized LaReRh2 structure from Alexandria via LeMat-Bulk. Energies are from PBE.

Cell: 9.782 9.782 9.782 Å, 17.04 17.04 17.04°
Last column: magnetic moment on the atom in μB.
Fractional coordinates of all 4 atoms:
Rh 0.739 0.739 0.739  0.02
Rh 0.261 0.261 0.261  0.02
Re 0.000 0.000 0.000  0.03
La 0.500 0.500 0.500  0.50

Results
Energy of formation in meV per atom: 278
V in Å³ per cell: 70.2
Energy in eV per atom: -7.7411
Energy above the lowest structure with this stoichiometry in eV/atom: 0.323
Mass density in Mg/m³: 12.57
D(E_F) in states/eV/atom: 1.53